[1]
DFT (PBE) results for a geometry-optimized InOs structure.

V = 19.10 A^3/atom
Energy of formation from the pure elements = 519 meV/atom
Calculated total energy = -6.4653 eV/atom

Unit cell a=6.2328 b=11.4711 c=4.6216 alpha=90.00 beta=112.34 gamma=90.00
Fractional positions:
Os (0.3137, 0.0000, 0.1604)
Os (0.0000, 0.3432, 0.5000)
Os (0.0000, 0.6568, 0.5000)
Os (0.0000, 0.1568, 0.0000)
Os (0.0000, 0.8432, 0.0000)
Os (0.6863, 0.0000, 0.8396)
Os (0.6863, 0.5000, 0.3396)
Os (0.3137, 0.5000, 0.6604)
In (0.2784, 0.6392, 0.1422)
In (0.2784, 0.3608, 0.1422)
In (0.7216, 0.1392, 0.3578)
In (0.2784, 0.8608, 0.6422)
In (0.7216, 0.6392, 0.8578)
In (0.7216, 0.8608, 0.3578)
In (0.7216, 0.3608, 0.8578)
In (0.2784, 0.1392, 0.6422)

---

[2]
DFT (PBE) results for a geometry-optimized In3Os structure.

V = 19.77 A^3/atom
Energy of formation from the pure elements = 469 meV/atom
Calculated total energy = -4.3921 eV/atom

Unit cell a=5.2430 b=5.2430 c=5.2430 alpha=131.54 beta=131.54 gamma=70.95
Fractional positions:
In (0.2500, 0.7500, 0.5000)
In (0.7500, 0.2500, 0.5000)
In (0.5000, 0.5000, 0.0000)
Os (0.0000, 0.0000, 0.0000)

---

[3]
DFT (PBE) results for a geometry-optimized InOs structure.

V = 18.94 A^3/atom
Energy of formation from the pure elements = 608 meV/atom
Calculated total energy = -6.3763 eV/atom

Unit cell a=5.0954 b=14.5391 c=8.1817 alpha=90.00 beta=90.00 gamma=90.00
Fractional positions:
In (0.5000, 0.0000, 0.1680)
In (0.7500, 0.7500, 0.0820)
In (0.2500, 0.2500, 0.0820)
In (0.7500, 0.7500, 0.4180)
In (0.2500, 0.2500, 0.4180)
In (0.2500, 0.7500, 0.9180)
In (0.0000, 0.0000, 0.6680)
In (0.0000, 0.5000, 0.8320)
In (0.0000, 0.5000, 0.1680)
In (0.5000, 0.5000, 0.3320)
In (0.5000, 0.0000, 0.8320)
In (0.7500, 0.2500, 0.9180)
In (0.0000, 0.0000, 0.3320)
In (0.2500, 0.7500, 0.5820)
In (0.7500, 0.2500, 0.5820)
In (0.5000, 0.5000, 0.6680)
Os (0.7500, 0.8351, 0.7500)
Os (0.5000, 0.5851, 0.0000)
Os (0.7500, 0.6649, 0.7500)
Os (0.5000, 0.0851, 0.5000)
Os (0.0000, 0.9149, 0.0000)
Os (0.2500, 0.1649, 0.7500)
Os (0.2500, 0.6649, 0.2500)
Os (0.2500, 0.3351, 0.7500)
Os (0.0000, 0.4149, 0.5000)
Os (0.0000, 0.0851, 0.0000)
Os (0.0000, 0.5851, 0.5000)
Os (0.5000, 0.9149, 0.5000)
Os (0.7500, 0.3351, 0.2500)
Os (0.2500, 0.8351, 0.2500)
Os (0.5000, 0.4149, 0.0000)
Os (0.7500, 0.1649, 0.2500)

---

[4]
DFT (PBE) results for a geometry-optimized InOs5 structure.

V = 15.25 A^3/atom
Energy of formation from the pure elements = 431 meV/atom
Calculated total energy = -9.3835 eV/atom

Unit cell a=4.8636 b=4.8636 c=4.4675 alpha=90.00 beta=90.00 gamma=120.00
Fractional positions:
Os (0.3574, 0.3574, 0.0000)
Os (0.3333, 0.6667, 0.5000)
Os (0.6426, 0.0000, 0.0000)
Os (0.0000, 0.6426, 0.0000)
Os (0.6667, 0.3333, 0.5000)
In (0.0000, 0.0000, 0.5000)

---

[5]
DFT (PBE) results for a geometry-optimized InOs3 structure.

V = 15.62 A^3/atom
Energy of formation from the pure elements = 613 meV/atom
Calculated total energy = -8.4934 eV/atom

Unit cell a=4.8631 b=4.8631 c=2.8121 alpha=90.00 beta=90.00 gamma=109.99
Fractional positions:
In (0.0000, 0.0000, 0.0000)
Os (0.5000, 0.0000, 0.5000)
Os (0.5000, 0.5000, 0.0000)
Os (0.0000, 0.5000, 0.5000)

---

[6]
DFT (PBE) results for a geometry-optimized InOs structure.

V = 20.68 A^3/atom
Energy of formation from the pure elements = 463 meV/atom
Calculated total energy = -6.5211 eV/atom

Unit cell a=2.9027 b=9.0495 c=9.4481 alpha=90.00 beta=90.00 gamma=90.00
Fractional positions:
In (0.5000, 0.2870, 0.2430)
In (0.5000, 0.5000, 0.5175)
In (0.5000, 0.0000, 0.0175)
In (0.5000, 0.7870, 0.7430)
In (0.5000, 0.7130, 0.2430)
In (0.5000, 0.2130, 0.7430)
Os (0.0000, 0.2646, 0.9876)
Os (0.0000, 0.2354, 0.4876)
Os (0.0000, 0.7354, 0.9876)
Os (0.5000, 0.0000, 0.5234)
Os (0.5000, 0.5000, 0.0234)
Os (0.0000, 0.7646, 0.4876)

---

[7]
DFT (PBE) results for a geometry-optimized InOs structure.

V = 22.11 A^3/atom
Energy of formation from the pure elements = 565 meV/atom
Calculated total energy = -6.4187 eV/atom

Unit cell a=4.0752 b=4.0752 c=18.4442 alpha=90.00 beta=90.00 gamma=120.00
Fractional positions:
In (0.0000, 0.0000, 0.8926)
In (0.3333, 0.6667, 0.2259)
In (0.6667, 0.3333, 0.7741)
In (0.0000, 0.0000, 0.1074)
In (0.3333, 0.6667, 0.4407)
In (0.6667, 0.3333, 0.5593)
Os (0.3333, 0.6667, 0.9843)
Os (0.6667, 0.3333, 0.0157)
Os (0.0000, 0.0000, 0.3491)
Os (0.3333, 0.6667, 0.6824)
Os (0.6667, 0.3333, 0.3176)
Os (0.0000, 0.0000, 0.6509)

---

[8]
DFT (PBE) results for a geometry-optimized InOs structure.

V = 20.85 A^3/atom
Energy of formation from the pure elements = 568 meV/atom
Calculated total energy = -6.4163 eV/atom

Unit cell a=9.1927 b=9.1927 c=3.9469 alpha=90.00 beta=90.00 gamma=90.00
Fractional positions:
Os (0.6873, 0.4622, 0.0000)
Os (0.4622, 0.3127, 0.0000)
Os (0.5378, 0.6873, 0.0000)
Os (0.3127, 0.5378, 0.0000)
Os (0.5678, 0.8841, 0.5000)
Os (0.4322, 0.1159, 0.5000)
Os (0.1159, 0.5678, 0.5000)
Os (0.8841, 0.4322, 0.5000)
In (0.0417, 0.7709, 0.0000)
In (0.6940, 0.2156, 0.5000)
In (0.3060, 0.7844, 0.5000)
In (0.7709, 0.9583, 0.0000)
In (0.2291, 0.0417, 0.0000)
In (0.2156, 0.3060, 0.5000)
In (0.9583, 0.2291, 0.0000)
In (0.7844, 0.6940, 0.5000)

---

[9]
DFT (PBE) results for a geometry-optimized In3Os structure.

V = 22.03 A^3/atom
Energy of formation from the pure elements = 501 meV/atom
Calculated total energy = -4.3601 eV/atom

Unit cell a=3.0521 b=3.0521 c=10.5053 alpha=90.00 beta=90.00 gamma=115.78
Fractional positions:
In (0.0000, 0.0000, 0.4622)
In (0.0000, 0.0000, 0.0378)
In (0.5000, 0.5000, 0.7500)
Os (0.5000, 0.5000, 0.2500)

---

[10]
DFT (PBE) results for a geometry-optimized InOs structure.

V = 21.31 A^3/atom
Energy of formation from the pure elements = 1147 meV/atom
Calculated total energy = -5.8376 eV/atom

Unit cell a=5.6341 b=5.6341 c=5.3717 alpha=90.00 beta=90.00 gamma=90.00
Fractional positions:
Os (0.3533, 0.3533, 0.0000)
Os (0.1467, 0.8533, 0.5000)
Os (0.8533, 0.1467, 0.5000)
Os (0.6467, 0.6467, 0.0000)
In (0.6881, 0.6881, 0.5000)
In (0.8119, 0.1880, 0.0000)
In (0.3120, 0.3120, 0.5000)
In (0.1880, 0.8119, 0.0000)

---

[11]
DFT (PBE) results for a geometry-optimized InOs structure.

V = 34.67 A^3/atom
Energy of formation from the pure elements = 2096 meV/atom
Calculated total energy = -4.8878 eV/atom

Unit cell a=7.4651 b=7.4651 c=7.4651 alpha=90.00 beta=90.00 gamma=90.00
Fractional positions:
In (0.5000, 0.0000, 0.2500)
In (0.7500, 0.5000, 0.0000)
In (0.2500, 0.5000, 0.0000)
In (0.0000, 0.2500, 0.5000)
In (0.5000, 0.0000, 0.7500)
In (0.0000, 0.7500, 0.5000)
Os (0.2500, 0.0000, 0.5000)
Os (0.5000, 0.7500, 0.0000)
Os (0.0000, 0.5000, 0.7500)
Os (0.7500, 0.0000, 0.5000)
Os (0.0000, 0.5000, 0.2500)
Os (0.5000, 0.2500, 0.0000)

---

[12]
DFT (PBE) results for a geometry-optimized InOs structure.

V = 17.44 A^3/atom
Energy of formation from the pure elements = 821 meV/atom
Calculated total energy = -6.1635 eV/atom

Unit cell a=4.6205 b=4.6205 c=4.6205 alpha=60.00 beta=60.00 gamma=60.00
Fractional positions:
In (0.0000, 0.0000, 0.0000)
In (0.2500, 0.2500, 0.2500)
Os (0.7500, 0.7500, 0.7500)
Os (0.5000, 0.5000, 0.5000)